Density functional theory data (GGA-PBE) for a geometry-optimized Sr2CeBi3Rh4 structure.

Values from the calculation:
DFT formation energy: -535 meV/atom
calculated density: 9031 kg/m3
calculated volume: 248.94 Å³/f.u.
VASP energy: -5.57 eV per atom
DOS at the Fermi energy: 11.32 states/eV/cell

abc: 4.680 4.680 11.366
angles: 90.00 90.00 90.00
Space group P-4m2 (No. 115)
Asymmetric unit:
Sr1 0.000 0.500 0.225
Ce1 0.000 0.000 0.500
Bi1 0.000 0.500 0.871
Bi2 0.500 0.500 0.500
Rh1 0.000 0.000 0.000
Rh2 0.000 0.500 0.632
Rh3 0.500 0.500 0.000